Record 1
DFT (GGA-PBE) results for a geometry-optimized CaPuO5 structure.

Computed properties:
Spin magnetization (μB/f.u.): 0.00
Crystal system: monoclinic
Formation energy (no corrections) (meV/atom): -2352

CIF file:
```
data_CaPuO5
_chemical_formula_sum 'Ca4 Pu4 O20'
_cell_length_a 9.370
_cell_length_b 6.531
_cell_length_c 8.214
_cell_angle_alpha 90.00
_cell_angle_beta 115.95
_cell_angle_gamma 90.00
_space_group_name_H-M_alt 'C 1 2/c 1'
_space_group_IT_number 15
_space_group_name_Hall '-C 2yc'
loop_
_atom_site_label
_atom_site_type_symbol
_atom_site_fract_x
_atom_site_fract_y
_atom_site_fract_z
_atom_site_occupancy
Ca1 Ca 0.000 0.046 0.250 1
Pu1 Pu 0.000 0.500 0.000 1
O1 O 0.000 0.404 0.250 1
O2 O 0.006 0.210 0.965 1
O3 O 0.221 0.491 0.612 1
```

Record 2
DFT (GGA-PBE) results for a geometry-optimized RbSc4O2 structure.

Computed properties:
Spin magnetization (μB/f.u.): 0.00
Crystal system: tetragonal
Formation energy (no corrections) (meV/atom): -44

CIF file:
```
data_RbSc4O2
_chemical_formula_sum 'Rb2 Sc8 O4'
_cell_length_a 4.962
_cell_length_b 4.962
_cell_length_c 12.602
_cell_angle_alpha 90.00
_cell_angle_beta 90.00
_cell_angle_gamma 90.00
_space_group_name_H-M_alt 'I 4/m m m'
_space_group_IT_number 139
_space_group_name_Hall '-I 4 2'
loop_
_atom_site_label
_atom_site_type_symbol
_atom_site_fract_x
_atom_site_fract_y
_atom_site_fract_z
_atom_site_occupancy
Rb1 Rb 0.000 0.000 0.000 1
Sc1 Sc 0.000 0.000 0.267 1
Sc2 Sc 0.000 0.500 0.000 1
O1 O 0.000 0.000 0.410 1
```